Ac3PrIn8 after structural relaxation, computed with PBE.

## Properties
space group	R3m
energy relative to the elements	-420	meV/atom
magnetic moment	0.000	μB per cell

```
Ac3PrIn8
1.0
6.248 0.000 0.000
3.124 5.411 0.000
3.124 1.804 10.309
In Ac Pr
8 3 1
direct
0.188 0.188 0.437
0.437 0.936 0.191
0.437 0.437 0.191
0.687 0.687 0.938
0.938 0.440 0.684
0.936 0.437 0.191
0.440 0.938 0.684
0.938 0.938 0.684
0.999 0.999 0.002
0.500 0.500 0.500
0.375 0.375 0.874
0.875 0.875 0.374
```

---

Ba2ErZnSe5 after structural relaxation, computed with PBE.

## Properties
space group	Cmc2_1
magnetic moment	0.000	μB per cell
formation energy (no corrections)	-1540	meV/atom

```
Ba2ErZnSe5
1.0
4.264 0.000 0.000
-2.132 9.470 0.000
0.000 0.000 13.233
Se Er Ba Zn
10 2 4 2
direct
0.049 0.098 0.035
0.651 0.301 0.511
0.349 0.699 0.011
0.691 0.382 0.872
0.702 0.403 0.162
0.501 0.001 0.275
0.309 0.618 0.372
0.298 0.597 0.662
0.951 0.902 0.535
0.499 0.999 0.775
0.797 0.594 0.519
0.203 0.406 0.019
0.874 0.747 0.824
0.881 0.762 0.192
0.126 0.253 0.324
0.119 0.238 0.692
0.562 0.123 0.935
0.438 0.877 0.435
```

---

CeSmErTh after structural relaxation, computed with PBE.

## Properties
space group	R3m
energy relative to the elements	35	meV/atom
magnetic moment	0.029	μB per cell
polymorph energy (0 for the lowest one)	0.0000	eV/atom

```
CeSmErTh
1.0
-0.557 -1.785 -3.020
2.896 -0.664 1.947
-6.332 -6.608 7.163
Er Ce Th Sm
1 1 1 1
direct
0.473 0.135 0.623
0.304 0.550 0.870
0.132 0.964 0.111
0.968 0.382 0.366
```

---

Cs2SnHgP after structural relaxation, computed with PBE.

## Properties
space group	P4/mmm
energy relative to the elements	-89	meV/atom
magnetic moment	0.000	μB per cell

```
Cs2SnHgP
1.0
7.029 0.000 0.000
0.000 7.029 0.000
0.000 0.000 5.146
Cs Sn P Hg
2 1 1 1
direct
0.000 0.500 0.000
0.500 0.000 0.000
0.000 0.000 0.500
0.000 0.000 0.000
0.500 0.500 0.500
```

---

Rb4Er3USe8 after structural relaxation, computed with PBE.

## Properties
space group	R-3m
magnetic moment	3.007	μB per cell
formation energy (no corrections)	-1585	meV/atom

```
Rb4Er3USe8
1.0
-1.410 6.439 -5.303
-8.673 -3.200 -1.580
2.100 1.534 8.052
Rb Se Er U
4 8 3 1
direct
0.000 0.000 0.500
0.500 0.000 0.500
0.000 0.000 0.000
0.500 0.000 0.000
0.234 0.695 0.468
0.273 0.305 0.038
0.269 0.306 0.537
0.727 0.695 0.962
0.731 0.694 0.463
0.766 0.305 0.038
0.766 0.305 0.532
0.234 0.695 0.962
0.500 0.500 0.000
0.000 0.500 0.500
0.500 0.500 0.500
0.000 0.500 0.000
```

---

CsHf3Be after structural relaxation, computed with PBE.

## Properties
space group	Pm-3m
energy relative to the elements	1064	meV/atom
magnetic moment	0.000	μB per cell
polymorph energy (0 for the lowest one)	0.0000	eV/atom

```
CsHf3Be
1.0
4.951 0.000 0.000
0.000 4.951 0.000
0.000 0.000 4.951
Be Hf Cs
1 3 1
direct
0.000 0.000 0.000
0.000 0.000 0.500
0.000 0.500 0.000
0.500 0.000 0.000
0.500 0.500 0.500
```

---

Repeat the fifth record exactly.
Rb4Er3USe8 after structural relaxation, computed with PBE.

## Properties
space group	R-3m
magnetic moment	3.007	μB per cell
formation energy (no corrections)	-1585	meV/atom

```
Rb4Er3USe8
1.0
-1.410 6.439 -5.303
-8.673 -3.200 -1.580
2.100 1.534 8.052
Rb Se Er U
4 8 3 1
direct
0.000 0.000 0.500
0.500 0.000 0.500
0.000 0.000 0.000
0.500 0.000 0.000
0.234 0.695 0.468
0.273 0.305 0.038
0.269 0.306 0.537
0.727 0.695 0.962
0.731 0.694 0.463
0.766 0.305 0.038
0.766 0.305 0.532
0.234 0.695 0.962
0.500 0.500 0.000
0.000 0.500 0.500
0.500 0.500 0.500
0.000 0.500 0.000
```